The following is a DFT calculation (GGA-PBE) of a geometry-optimized Rb2Ag4Sb5 structure.

```
Rb2Ag4Sb5
1.0
6.994 -3.208 0.000
6.994 3.208 0.000
-5.983 0.000 7.143
Rb Ag Sb
2 4 5
Direct
0.021 0.021 0.237
0.979 0.979 0.763
0.304 0.304 0.057
0.450 0.450 0.597
0.550 0.550 0.403
0.696 0.696 0.943
0.008 0.541 0.273
0.459 0.992 0.727
0.500 0.500 0.000
0.541 0.008 0.273
0.992 0.459 0.727
```

Calculated values
Its formation energy from raw total energies is -5 kJ per mole of atoms. The calculation puts the volume at 320.5 Å³/cell. The magnetic moment comes out at 0.00 μB per formula unit.